VASP calculation (PBE+U) on a geometry-optimized LaCoF6 structure.

Summary:
calculated total energy	-0.207	hartree per atom
V	104.9	Å³/cell
D(E_F)	0.00	states/eV/cell
magnetization	3.99	Bohr magnetons per cell

Lattice parameters (Å, degrees): 4.6728 4.6728 5.0364 96.04 96.04 104.53
Closest atoms and distances in Å follow each position.
Positions (direct):
La1 0.0000 0.0000 0.0000  6 F 2.41-2.49
Co1 0.5000 0.5000 0.5000  6 F 1.85-1.97
F1 0.1862 0.5281 0.2183  1 Co 1.97
F2 0.2167 0.2167 0.6307  1 Co 1.85
F3 0.4719 0.8138 0.7817  1 Co 1.97
F4 0.5281 0.1862 0.2183  1 Co 1.97
F5 0.7833 0.7833 0.3693  1 Co 1.85
F6 0.8138 0.4719 0.7817  1 Co 1.97